CuNiAu (PBE-GGA, relaxed); SG = F-43m (216); mass density = 11160 kg/m³
1.0
4.065 0.000 0.000
2.033 3.520 0.000
2.033 1.173 3.319
Au Ni Cu
1 1 1
direct
0.000 0.000 0.000 Au
0.750 0.750 0.750 Ni
0.500 0.500 0.500 Cu

=====

CuNiAu2 (PBE-GGA, relaxed); SG = P4/mmm (123); mass density = 14544 kg/m³
1.0
-1.050 2.603 3.475
0.523 -3.473 2.760
2.850 0.698 0.339
Cu Ni Au
1 1 2
direct
0.500 0.000 0.500 Cu
0.000 0.500 0.500 Ni
0.500 0.500 0.000 Au
0.000 0.000 0.000 Au

=====

CuNi2Au (PBE-GGA, relaxed); SG = Pm (6); mass density = 12064 kg/m³
1.0
-1.901 -2.445 1.237
1.893 -0.485 1.949
-0.658 3.227 5.364
Ni Cu Au
2 1 1
direct
0.000 0.991 0.009 Ni
0.500 0.284 0.216 Ni
0.500 0.723 0.777 Cu
0.000 0.502 0.498 Au

=====

CuNi2Au (PBE-GGA, relaxed); SG = R3m (160); mass density = 11818 kg/m³
1.0
-5.645 0.165 -6.547
-4.604 -2.276 -6.955
-6.619 -1.950 -5.210
Au Ni Cu
1 2 1
direct
0.501 0.501 0.501 Au
0.999 0.999 0.999 Ni
0.257 0.257 0.257 Ni
0.743 0.743 0.743 Cu

=====

Cu2NiAu (PBE-GGA, relaxed); SG = C2/m (12); mass density = 11947 kg/m³
1.0
4.532 0.010 -0.013
3.718 2.591 -0.013
0.826 0.260 4.542
Ni Cu Au
1 2 1
direct
0.750 0.750 0.750 Ni
0.494 0.494 0.520 Cu
0.006 0.006 0.980 Cu
0.250 0.250 0.250 Au

=====

CuNiAu2 (PBE-GGA, relaxed); SG = Pmm2 (25); mass density = 14510 kg/m³
1.0
3.045 0.000 0.000
0.000 2.978 0.000
0.000 0.000 6.514
Cu Ni Au
1 1 2
direct
0.000 0.000 0.528 Cu
0.500 0.500 0.724 Ni
0.500 0.500 0.280 Au
0.000 0.000 0.968 Au

=====

CuNiAu2 (PBE-GGA, relaxed); SG = Immm (71); mass density = 12812 kg/m³
1.0
4.868 -1.605 -2.885
-1.471 4.910 2.885
-3.487 0.186 4.733
Ni Au Cu
1 2 1
direct
0.000 0.000 0.000 Ni
0.000 0.248 0.248 Au
0.000 0.752 0.752 Au
0.000 0.500 0.500 Cu

=====

Cu2NiAu (PBE-GGA, relaxed); SG = P4mm (99); mass density = 12030 kg/m³
1.0
-0.979 -2.618 0.806
0.610 -1.042 -2.646
5.733 -1.548 1.932
Cu Au Ni
2 1 1
direct
0.500 0.500 0.255 Cu
0.000 0.000 0.029 Cu
0.500 0.500 0.746 Au
0.000 0.000 0.471 Ni

=====

CuNi2Au (PBE-GGA, relaxed); SG = Cmmm (65); mass density = 12031 kg/m³
1.0
4.497 0.047 0.000
-1.445 4.259 0.000
0.000 0.000 2.714
Ni Cu Au
2 1 1
direct
0.000 0.000 0.000 Ni
0.500 0.500 0.000 Ni
0.000 0.500 0.500 Cu
0.500 0.000 0.500 Au

=====

Cu7NiAu2 (PBE-GGA, relaxed); SG = Cmmm (65); mass density = 9834 kg/m³
1.0
-0.731 2.426 -0.661
-3.764 -3.018 -6.915
-8.022 -2.550 -0.491
Cu Ni Au
7 1 2
direct
0.500 0.500 0.500 Cu
0.500 0.305 0.861 Cu
0.500 0.861 0.305 Cu
0.000 0.169 0.169 Cu
0.500 0.695 0.139 Cu
0.500 0.139 0.695 Cu
0.000 0.831 0.831 Cu
0.000 0.000 0.000 Ni
0.500 0.680 0.680 Au
0.500 0.320 0.320 Au

=====

Cu2NiAu2 (PBE-GGA, relaxed); SG = C2/m (12); mass density = 13477 kg/m³
1.0
-2.525 -2.840 0.176
-1.038 -1.889 -4.257
1.935 -4.230 0.630
Au Cu Ni
2 2 1
direct
0.292 0.299 0.618 Au
0.708 0.701 0.382 Au
0.106 0.096 0.192 Cu
0.894 0.904 0.808 Cu
0.500 0.500 0.000 Ni

=====

CuNiAu2 (PBE-GGA, relaxed); SG = R3m (160); mass density = 14223 kg/m³
1.0
-0.297 2.402 1.475
-2.120 0.267 1.863
4.274 -2.314 7.351
Cu Au Ni
1 2 1
direct
0.500 0.500 0.501 Cu
0.082 0.082 0.753 Au
0.251 0.251 0.248 Au
0.667 0.667 0.999 Ni

=====

| no. | magnetization (μB/f.u.) | DFT formation energy (eV per atom) | raw total energy (eV per cell) |
| --- | --- | --- | --- |
| 1 | 0.000 | 0.316 | -12.21 |
| 2 | 0.000 | 0.027 | -16.32 |
| 3 | 0.886 | 0.070 | -18.65 |
| 4 | 0.785 | 0.151 | -18.33 |
| 5 | 0.000 | 0.032 | -17.12 |
| 6 | 0.000 | 0.047 | -16.25 |
| 7 | 0.579 | 0.415 | -14.77 |
| 8 | 0.000 | 0.043 | -17.08 |
| 9 | 0.673 | 0.119 | -18.46 |
| 10 | 0.000 | 0.222 | -38.79 |
| 11 | 0.000 | 0.023 | -20.41 |
| 12 | 0.308 | 0.118 | -15.96 |